Record 1
{"formula": "Al21Pt8", "functional": "SCAN", "state": "PBEsol geometry", "lattice_angstrom": [[-6.4751, 6.4751, 5.3231], [6.4751, -6.4751, 5.3231], [6.4751, 6.4751, -5.3231]], "species": ["Al", "Al", "Al", "Al", "Al", "Al", "Al", "Al", "Al", "Al", "Al", "Al", "Al", "Al", "Al", "Al", "Al", "Al", "Al", "Al", "Al", "Al", "Al", "Al", "Al", "Al", "Al", "Al", "Al", "Al", "Al", "Al", "Al", "Al", "Al", "Al", "Al", "Al", "Al", "Al", "Al", "Al", "Pt", "Pt", "Pt", "Pt", "Pt", "Pt", "Pt", "Pt", "Pt", "Pt", "Pt", "Pt", "Pt", "Pt", "Pt", "Pt"], "fractional_positions": [[0.0151, 0.9285, 0.5899], [0.0643, 0.6712, 0.2860], [0.0748, 0.4849, 0.4134], [0.0759, 0.8043, 0.0861], [0.1149, 0.2218, 0.7860], [0.1407, 0.8817, 0.8218], [0.1614, 0.5748, 0.0899], [0.1712, 0.3851, 0.6069], [0.1765, 0.1351, 0.0221], [0.1810, 0.3593, 0.2410], [0.2182, 0.9898, 0.4139], [0.2782, 0.5643, 0.8931], [0.3043, 0.7182, 0.7284], [0.3456, 0.3235, 0.4586], [0.3649, 0.8871, 0.0414], [0.3750, 0.1250, 0.2500], [0.3817, 0.0599, 0.7410], [0.3871, 0.8456, 0.5221], [0.4285, 0.3386, 0.9134], [0.4401, 0.6810, 0.3218], [0.4898, 0.5759, 0.7716], [0.5102, 0.4241, 0.2284], [0.5599, 0.3190, 0.6782], [0.5715, 0.6614, 0.0866], [0.6129, 0.1544, 0.4779], [0.6183, 0.9401, 0.2590], [0.6250, 0.8750, 0.7500], [0.6351, 0.1129, 0.9586], [0.6544, 0.6765, 0.5414], [0.6957, 0.2818, 0.2716], [0.7218, 0.4357, 0.1069], [0.7818, 0.0102, 0.5861], [0.8190, 0.6407, 0.7590], [0.8235, 0.8649, 0.9779], [0.8288, 0.6149, 0.3931], [0.8386, 0.4252, 0.9101], [0.8593, 0.1183, 0.1782], [0.8851, 0.7782, 0.2140], [0.9241, 0.1957, 0.9139], [0.9252, 0.5151, 0.5866], [0.9357, 0.3288, 0.7140], [0.9849, 0.0715, 0.4101], [0.0697, 0.6322, 0.8657], [0.0902, 0.0631, 0.2135], [0.1322, 0.7664, 0.5624], [0.2664, 0.2040, 0.6343], [0.2960, 0.4303, 0.0624], [0.3495, 0.8767, 0.2865], [0.3767, 0.5902, 0.5271], [0.4369, 0.1505, 0.0271], [0.5631, 0.8495, 0.9729], [0.6233, 0.4098, 0.4729], [0.6505, 0.1233, 0.7135], [0.7040, 0.5697, 0.9376], [0.7336, 0.7960, 0.3657], [0.8678, 0.2336, 0.4376], [0.9098, 0.9369, 0.7865], [0.9303, 0.3678, 0.1343]], "formation_energy_ev_per_fu": -28.106, "density_g_cm3": 7.91, "dft_energy_ev_per_atom": -25.946, "dos_at_fermi_per_ev_cell": 11.39, "sg": "I4_1/a, No. 88"}

---

Record 2
{"formula": "ZrMnCr", "functional": "SCAN", "state": "PBEsol geometry", "lattice_angstrom": [[7.9475, 0.0000, 0.0000], [0.0000, 2.4784, 4.3096], [0.0000, -2.4784, 4.3096]], "species": ["Zr", "Zr", "Zr", "Zr", "Mn", "Mn", "Mn", "Mn", "Cr", "Cr", "Cr", "Cr"], "fractional_positions": [[0.1862, 0.0000, 0.0000], [0.3096, 0.3338, 0.3338], [0.6904, 0.3338, 0.3338], [0.8138, 0.0000, 0.0000], [0.0000, 0.0072, 0.4961], [0.0000, 0.4961, 0.0072], [0.0000, 0.4960, 0.4960], [0.5000, 0.8349, 0.8349], [0.2402, 0.6678, 0.6678], [0.5000, 0.3336, 0.8335], [0.5000, 0.8335, 0.3336], [0.7598, 0.6678, 0.6678]], "formation_energy_ev_per_fu": -0.289, "density_g_cm3": 7.75, "dft_energy_ev_per_atom": -22.543, "dos_at_fermi_per_ev_cell": 10.17, "sg": "Amm2, No. 38"}

---

Record 3
{"formula": "Cs2Cr2Bi", "functional": "SCAN", "state": "PBEsol geometry", "lattice_angstrom": [[-1.6335, 1.6335, 13.2127], [1.6335, -1.6335, 13.2127], [1.6335, 1.6335, -13.2127]], "species": ["Cs", "Cs", "Cr", "Cr", "Bi"], "fractional_positions": [[0.1179, 0.1179, 0.0000], [0.8821, 0.8821, 0.0000], [0.2500, 0.7500, 0.5000], [0.7500, 0.2500, 0.5000], [0.5000, 0.5000, 0.0000]], "formation_energy_ev_per_fu": 4.132, "density_g_cm3": 6.82, "dft_energy_ev_per_atom": -37.368, "dos_at_fermi_per_ev_cell": 3.73, "sg": "I4/mmm, No. 139"}

---

Record 4
{"formula": "MgAg3", "functional": "SCAN", "state": "PBEsol geometry", "lattice_angstrom": [[3.3976, 0.0000, 0.0000], [0.0000, 3.3976, 0.0000], [0.0000, 0.0000, 5.9360]], "species": ["Mg", "Ag", "Ag", "Ag"], "fractional_positions": [[0.0000, 0.0000, 0.0000], [0.0000, 0.0000, 0.5000], [0.5000, 0.5000, 0.2517], [0.5000, 0.5000, 0.7483]], "formation_energy_ev_per_fu": -0.491, "density_g_cm3": 8.43, "relative_energy_mev_per_atom": 37, "dft_energy_ev_per_atom": -24.891, "dos_at_fermi_per_ev_cell": 1.14, "sg": "P4/mmm, No. 123"}